Record 1
YAgP: optimized geometry, PBEsol.

Computed properties:
- DOS(E_F) (states/eV/cell) = 6.32
- size of the total moment (Bohr magnetons per cell) = 0.00
- space-group type = Pnma, No. 62
- formation energy (eV per atom) = -0.84

```
data_YAgP
_chemical_formula_sum 'Y4 Ag4 P4'
_cell_length_a 6.815
_cell_length_b 3.941
_cell_length_c 8.320
_cell_angle_alpha 90.00
_cell_angle_beta 90.00
_cell_angle_gamma 90.00
_symmetry_space_group_name_H-M 'P 1'
_symmetry_Int_Tables_number 1
_symmetry_space_group_name_Hall 'P 1'
loop_
_atom_site_label
_atom_site_type_symbol
_atom_site_fract_x
_atom_site_fract_y
_atom_site_fract_z
Y1 Y 0.037 0.250 0.177
Y2 Y 0.463 0.750 0.677
Y3 Y 0.537 0.250 0.323
Y4 Y 0.963 0.750 0.823
Ag1 Ag 0.141 0.250 0.557
Ag2 Ag 0.359 0.750 0.057
Ag3 Ag 0.641 0.250 0.943
Ag4 Ag 0.859 0.750 0.443
P1 P 0.245 0.750 0.372
P2 P 0.255 0.250 0.872
P3 P 0.745 0.750 0.128
P4 P 0.755 0.250 0.628
```



Record 2
YAg2P: optimized geometry, PBEsol.

Computed properties:
- DOS(E_F) (states/eV/cell) = 1.22
- size of the total moment (Bohr magnetons per cell) = 0.00
- space-group type = P4/mmm, No. 123
- formation energy (eV per atom) = -0.24

```
data_YAg2P
_chemical_formula_sum 'Y1 Ag2 P1'
_cell_length_a 3.781
_cell_length_b 3.781
_cell_length_c 5.488
_cell_angle_alpha 90.00
_cell_angle_beta 90.00
_cell_angle_gamma 90.00
_symmetry_space_group_name_H-M 'P 1'
_symmetry_Int_Tables_number 1
_symmetry_space_group_name_Hall 'P 1'
loop_
_atom_site_label
_atom_site_type_symbol
_atom_site_fract_x
_atom_site_fract_y
_atom_site_fract_z
Y1 Y 0.000 0.000 0.000
Ag1 Ag 0.500 0.500 0.259
Ag2 Ag 0.500 0.500 0.741
P1 P 0.000 0.000 0.500
```



Record 3
Y2AgP2: optimized geometry, PBEsol.

Computed properties:
- DOS(E_F) (states/eV/cell) = 5.71
- size of the total moment (Bohr magnetons per cell) = 0.00
- space-group type = P4/mbm, No. 127
- formation energy (eV per atom) = -1.06

```
data_Y2AgP2
_chemical_formula_sum 'Y4 Ag2 P4'
_cell_length_a 7.327
_cell_length_b 7.327
_cell_length_c 3.703
_cell_angle_alpha 90.00
_cell_angle_beta 90.00
_cell_angle_gamma 90.00
_symmetry_space_group_name_H-M 'P 1'
_symmetry_Int_Tables_number 1
_symmetry_space_group_name_Hall 'P 1'
loop_
_atom_site_label
_atom_site_type_symbol
_atom_site_fract_x
_atom_site_fract_y
_atom_site_fract_z
Y1 Y 0.156 0.344 0.000
Y2 Y 0.344 0.844 0.000
Y3 Y 0.656 0.156 0.000
Y4 Y 0.844 0.656 0.000
Ag1 Ag 0.000 0.000 0.500
Ag2 Ag 0.500 0.500 0.500
P1 P 0.154 0.654 0.500
P2 P 0.346 0.154 0.500
P3 P 0.654 0.846 0.500
P4 P 0.846 0.346 0.500
```



Record 4
YAg2P: optimized geometry, PBEsol.

Computed properties:
- DOS(E_F) (states/eV/cell) = 2.37
- size of the total moment (Bohr magnetons per cell) = 0.00
- space-group type = Fmmm, No. 69
- formation energy (eV per atom) = -0.34

```
data_YAg2P
_chemical_formula_sum 'Y1 Ag2 P1'
_cell_length_a 6.035
_cell_length_b 6.029
_cell_length_c 3.875
_cell_angle_alpha 71.36
_cell_angle_beta 71.18
_cell_angle_gamma 37.47
_symmetry_space_group_name_H-M 'P 1'
_symmetry_Int_Tables_number 1
_symmetry_space_group_name_Hall 'P 1'
loop_
_atom_site_label
_atom_site_type_symbol
_atom_site_fract_x
_atom_site_fract_y
_atom_site_fract_z
Y1 Y 0.000 0.000 0.000
Ag1 Ag 0.000 0.500 0.500
Ag2 Ag 0.500 0.000 0.000
P1 P 0.500 0.500 0.500
```



Record 5
YAgP: optimized geometry, PBEsol.

Computed properties:
- DOS(E_F) (states/eV/cell) = 1.18
- size of the total moment (Bohr magnetons per cell) = 0.00
- space-group type = I4mm, No. 107
- formation energy (eV per atom) = -0.48

```
data_YAgP
_chemical_formula_sum 'Y1 Ag1 P1'
_cell_length_a 5.071
_cell_length_b 5.071
_cell_length_c 5.071
_cell_angle_alpha 136.75
_cell_angle_beta 136.75
_cell_angle_gamma 62.83
_symmetry_space_group_name_H-M 'P 1'
_symmetry_Int_Tables_number 1
_symmetry_space_group_name_Hall 'P 1'
loop_
_atom_site_label
_atom_site_type_symbol
_atom_site_fract_x
_atom_site_fract_y
_atom_site_fract_z
Y1 Y 0.000 0.000 0.000
Ag1 Ag 0.323 0.323 0.000
P1 P 0.629 0.629 0.000
```



Record 6
YAg2P: optimized geometry, PBEsol.

Computed properties:
- DOS(E_F) (states/eV/cell) = 0.76
- size of the total moment (Bohr magnetons per cell) = 0.00
- space-group type = F-43m, No. 216
- formation energy (eV per atom) = -0.37

```
data_YAg2P
_chemical_formula_sum 'Y1 Ag2 P1'
_cell_length_a 4.723
_cell_length_b 4.723
_cell_length_c 4.723
_cell_angle_alpha 60.00
_cell_angle_beta 60.00
_cell_angle_gamma 60.00
_symmetry_space_group_name_H-M 'P 1'
_symmetry_Int_Tables_number 1
_symmetry_space_group_name_Hall 'P 1'
loop_
_atom_site_label
_atom_site_type_symbol
_atom_site_fract_x
_atom_site_fract_y
_atom_site_fract_z
Y1 Y 0.000 0.000 0.000
Ag1 Ag 0.250 0.250 0.250
Ag2 Ag 0.500 0.500 0.500
P1 P 0.750 0.750 0.750
```



Record 7
YAg2P: optimized geometry, PBEsol.

Computed properties:
- DOS(E_F) (states/eV/cell) = 2.08
- size of the total moment (Bohr magnetons per cell) = 0.00
- space-group type = R-3m, No. 166
- formation energy (eV per atom) = 0.23

```
data_YAg2P
_chemical_formula_sum 'Y1 Ag2 P1'
_cell_length_a 9.206
_cell_length_b 9.206
_cell_length_c 9.206
_cell_angle_alpha 19.65
_cell_angle_beta 19.65
_cell_angle_gamma 19.65
_symmetry_space_group_name_H-M 'P 1'
_symmetry_Int_Tables_number 1
_symmetry_space_group_name_Hall 'P 1'
loop_
_atom_site_label
_atom_site_type_symbol
_atom_site_fract_x
_atom_site_fract_y
_atom_site_fract_z
Y1 Y 0.000 0.000 0.000
Ag1 Ag 0.239 0.239 0.239
Ag2 Ag 0.761 0.761 0.761
P1 P 0.500 0.500 0.500
```



Record 8
YAg2P: optimized geometry, PBEsol.

Computed properties:
- DOS(E_F) (states/eV/cell) = 0.94
- size of the total moment (Bohr magnetons per cell) = 0.00
- space-group type = Amm2, No. 38
- formation energy (eV per atom) = -0.56

```
data_YAg2P
_chemical_formula_sum 'Y1 Ag2 P1'
_cell_length_a 3.757
_cell_length_b 5.694
_cell_length_c 5.694
_cell_angle_alpha 39.34
_cell_angle_beta 90.00
_cell_angle_gamma 90.00
_symmetry_space_group_name_H-M 'P 1'
_symmetry_Int_Tables_number 1
_symmetry_space_group_name_Hall 'P 1'
loop_
_atom_site_label
_atom_site_type_symbol
_atom_site_fract_x
_atom_site_fract_y
_atom_site_fract_z
Y1 Y 0.000 0.000 0.000
Ag1 Ag 0.000 0.725 0.725
Ag2 Ag 0.500 0.309 0.309
P1 P 0.500 0.556 0.556
```



Record 9
YAgP: optimized geometry, PBEsol.

Computed properties:
- DOS(E_F) (states/eV/cell) = 1.63
- size of the total moment (Bohr magnetons per cell) = 0.00
- space-group type = F-43m, No. 216
- formation energy (eV per atom) = -0.66

```
data_YAgP
_chemical_formula_sum 'Y1 Ag1 P1'
_cell_length_a 4.443
_cell_length_b 4.443
_cell_length_c 4.443
_cell_angle_alpha 60.00
_cell_angle_beta 60.00
_cell_angle_gamma 60.00
_symmetry_space_group_name_H-M 'P 1'
_symmetry_Int_Tables_number 1
_symmetry_space_group_name_Hall 'P 1'
loop_
_atom_site_label
_atom_site_type_symbol
_atom_site_fract_x
_atom_site_fract_y
_atom_site_fract_z
Y1 Y 0.000 0.000 0.000
Ag1 Ag 0.500 0.500 0.500
P1 P 0.750 0.750 0.750
```



Record 10
Zr2AgP: optimized geometry, PBEsol.

Computed properties:
- DOS(E_F) (states/eV/cell) = 1.27
- size of the total moment (Bohr magnetons per cell) = 0.00
- space-group type = R-3m, No. 166
- formation energy (eV per atom) = -0.71

```
data_Zr2AgP
_chemical_formula_sum 'Zr2 Ag1 P1'
_cell_length_a 7.297
_cell_length_b 7.297
_cell_length_c 7.297
_cell_angle_alpha 28.51
_cell_angle_beta 28.51
_cell_angle_gamma 28.51
_symmetry_space_group_name_H-M 'P 1'
_symmetry_Int_Tables_number 1
_symmetry_space_group_name_Hall 'P 1'
loop_
_atom_site_label
_atom_site_type_symbol
_atom_site_fract_x
_atom_site_fract_y
_atom_site_fract_z
Zr1 Zr 0.236 0.236 0.236
Zr2 Zr 0.764 0.764 0.764
Ag1 Ag 0.000 0.000 0.000
P1 P 0.500 0.500 0.500
```



Record 11
ZrAgP: optimized geometry, PBEsol.

Computed properties:
- DOS(E_F) (states/eV/cell) = 2.57
- size of the total moment (Bohr magnetons per cell) = 0.00
- space-group type = F-43m, No. 216
- formation energy (eV per atom) = 0.15

```
data_ZrAgP
_chemical_formula_sum 'Zr1 Ag1 P1'
_cell_length_a 4.347
_cell_length_b 4.347
_cell_length_c 4.347
_cell_angle_alpha 60.00
_cell_angle_beta 60.00
_cell_angle_gamma 60.00
_symmetry_space_group_name_H-M 'P 1'
_symmetry_Int_Tables_number 1
_symmetry_space_group_name_Hall 'P 1'
loop_
_atom_site_label
_atom_site_type_symbol
_atom_site_fract_x
_atom_site_fract_y
_atom_site_fract_z
Zr1 Zr 0.000 0.000 0.000
Ag1 Ag 0.250 0.250 0.250
P1 P 0.500 0.500 0.500
```



Record 12
ZrAgP: optimized geometry, PBEsol.

Computed properties:
- DOS(E_F) (states/eV/cell) = 1.85
- size of the total moment (Bohr magnetons per cell) = 0.00
- space-group type = F-43m, No. 216
- formation energy (eV per atom) = -0.15

```
data_ZrAgP
_chemical_formula_sum 'Zr1 Ag1 P1'
_cell_length_a 4.409
_cell_length_b 4.409
_cell_length_c 4.409
_cell_angle_alpha 60.00
_cell_angle_beta 60.00
_cell_angle_gamma 60.00
_symmetry_space_group_name_H-M 'P 1'
_symmetry_Int_Tables_number 1
_symmetry_space_group_name_Hall 'P 1'
loop_
_atom_site_label
_atom_site_type_symbol
_atom_site_fract_x
_atom_site_fract_y
_atom_site_fract_z
Zr1 Zr 0.000 0.000 0.000
Ag1 Ag 0.750 0.750 0.750
P1 P 0.250 0.250 0.250
```



Record 13
AgPb5: optimized geometry, PBEsol.

Computed properties:
- DOS(E_F) (states/eV/cell) = 2.69
- size of the total moment (Bohr magnetons per cell) = 0.00
- space-group type = Cmmm, No. 65
- formation energy (eV per atom) = 0.07
- energy above the most stable polymorph in this dataset (meV/atom) = 43

```
data_AgPb5
_chemical_formula_sum 'Ag1 Pb5'
_cell_length_a 7.645
_cell_length_b 7.645
_cell_length_c 4.734
_cell_angle_alpha 90.00
_cell_angle_beta 90.00
_cell_angle_gamma 143.58
_symmetry_space_group_name_H-M 'P 1'
_symmetry_Int_Tables_number 1
_symmetry_space_group_name_Hall 'P 1'
loop_
_atom_site_label
_atom_site_type_symbol
_atom_site_fract_x
_atom_site_fract_y
_atom_site_fract_z
Ag1 Ag 0.000 0.000 0.000
Pb1 Pb 0.160 0.840 0.500
Pb2 Pb 0.341 0.659 0.000
Pb3 Pb 0.500 0.500 0.500
Pb4 Pb 0.659 0.341 0.000
Pb5 Pb 0.840 0.160 0.500
```



Record 14
Ag7Pb6: optimized geometry, PBEsol.

Computed properties:
- DOS(E_F) (states/eV/cell) = 5.53
- size of the total moment (Bohr magnetons per cell) = 0.00
- space-group type = R-3m, No. 166
- formation energy (eV per atom) = 0.06

```
data_Ag7Pb6
_chemical_formula_sum 'Ag7 Pb6'
_cell_length_a 10.951
_cell_length_b 10.951
_cell_length_c 10.951
_cell_angle_alpha 29.94
_cell_angle_beta 29.94
_cell_angle_gamma 29.94
_symmetry_space_group_name_H-M 'P 1'
_symmetry_Int_Tables_number 1
_symmetry_space_group_name_Hall 'P 1'
loop_
_atom_site_label
_atom_site_type_symbol
_atom_site_fract_x
_atom_site_fract_y
_atom_site_fract_z
Ag1 Ag 0.000 0.000 0.000
Ag2 Ag 0.092 0.092 0.592
Ag3 Ag 0.092 0.592 0.092
Ag4 Ag 0.408 0.908 0.908
Ag5 Ag 0.592 0.092 0.092
Ag6 Ag 0.908 0.408 0.908
Ag7 Ag 0.908 0.908 0.408
Pb1 Pb 0.167 0.167 0.167
Pb2 Pb 0.346 0.346 0.346
Pb3 Pb 0.449 0.449 0.449
Pb4 Pb 0.551 0.551 0.551
Pb5 Pb 0.654 0.654 0.654
Pb6 Pb 0.833 0.833 0.833
```



Record 15
AgPb4: optimized geometry, PBEsol.

Computed properties:
- DOS(E_F) (states/eV/cell) = 2.35
- size of the total moment (Bohr magnetons per cell) = 0.00
- space-group type = I4/m, No. 87
- formation energy (eV per atom) = 0.06

```
data_AgPb4
_chemical_formula_sum 'Ag1 Pb4'
_cell_length_a 6.495
_cell_length_b 6.495
_cell_length_c 6.495
_cell_angle_alpha 93.98
_cell_angle_beta 93.98
_cell_angle_gamma 149.44
_symmetry_space_group_name_H-M 'P 1'
_symmetry_Int_Tables_number 1
_symmetry_space_group_name_Hall 'P 1'
loop_
_atom_site_label
_atom_site_type_symbol
_atom_site_fract_x
_atom_site_fract_y
_atom_site_fract_z
Ag1 Ag 0.000 0.000 0.000
Pb1 Pb 0.225 0.580 0.805
Pb2 Pb 0.420 0.225 0.645
Pb3 Pb 0.580 0.775 0.355
Pb4 Pb 0.775 0.420 0.195
```